(1)
## La12Ag3N5 (GGA-PBE)

Data for a relaxed structure of La12Ag3N5.

Cell lengths 14.2127, 14.2127, 14.2127 Å; angles 109.47, 109.47, 109.47 degrees
Closest atoms and distances in Å follow each position.
Fractional positions:
La1 0.0120 0.1974 0.1098  2 N 2.35-2.63
La2 0.0120 0.3146 0.9022  2 N 2.35-2.63
La3 0.0876 0.6974 0.6854  2 N 2.35-2.63
La4 0.0876 0.8902 0.4022  2 N 2.35-2.63
La5 0.0978 0.6098 0.4124  2 N 2.35-2.63
La6 0.0978 0.9880 0.6854  2 N 2.35-2.63
La7 0.1098 0.0120 0.1974  2 N 2.35-2.63
La8 0.1098 0.5978 0.9124  2 N 2.35-2.63
La9 0.1854 0.1974 0.5876  2 N 2.35-2.63
La10 0.1854 0.4880 0.5978  2 N 2.35-2.63
La11 0.1974 0.1098 0.0120  2 N 2.35-2.63
La12 0.1974 0.5876 0.1854  2 N 2.35-2.63
La13 0.3026 0.3146 0.9124  2 N 2.35-2.63
La14 0.3026 0.4880 0.3902  2 N 2.35-2.63
La15 0.3146 0.9022 0.0120  2 N 2.35-2.63
La16 0.3146 0.9124 0.3026  2 N 2.35-2.63
La17 0.3902 0.3026 0.4880  2 N 2.35-2.63
La18 0.3902 0.5876 0.9022  2 N 2.35-2.63
La19 0.4022 0.0876 0.8902  2 N 2.35-2.63
La20 0.4022 0.8146 0.5120  2 N 2.35-2.63
La21 0.4124 0.0978 0.6098  2 N 2.35-2.63
La22 0.4124 0.8146 0.8026  2 N 2.35-2.63
La23 0.4880 0.3902 0.3026  2 N 2.35-2.63
La24 0.4880 0.5978 0.1854  2 N 2.35-2.63
La25 0.5120 0.4022 0.8146  2 N 2.35-2.63
La26 0.5120 0.6098 0.6974  2 N 2.35-2.63
La27 0.5876 0.1854 0.1974  2 N 2.35-2.63
La28 0.5876 0.9022 0.3902  2 N 2.35-2.63
La29 0.5978 0.1854 0.4880  2 N 2.35-2.63
La30 0.5978 0.9124 0.1098  2 N 2.35-2.63
La31 0.6098 0.4124 0.0978  2 N 2.35-2.63
La32 0.6098 0.6974 0.5120  2 N 2.35-2.63
La33 0.6854 0.0876 0.6974  2 N 2.35-2.63
La34 0.6854 0.0978 0.9880  2 N 2.35-2.63
La35 0.6974 0.5120 0.6098  2 N 2.35-2.63
La36 0.6974 0.6854 0.0876  2 N 2.35-2.63
La37 0.8026 0.4124 0.8146  2 N 2.35-2.63
La38 0.8026 0.8902 0.9880  2 N 2.35-2.63
La39 0.8146 0.5120 0.4022  2 N 2.35-2.63
La40 0.8146 0.8026 0.4124  2 N 2.35-2.63
La41 0.8902 0.4022 0.0876  2 N 2.35-2.63
La42 0.8902 0.9880 0.8026  2 N 2.35-2.63
La43 0.9022 0.0120 0.3146  2 N 2.35-2.63
La44 0.9022 0.3902 0.5876  2 N 2.35-2.63
La45 0.9124 0.1098 0.5978  2 N 2.35-2.63
La46 0.9124 0.3026 0.3146  2 N 2.35-2.63
La47 0.9880 0.6854 0.0978  2 N 2.35-2.63
La48 0.9880 0.8026 0.8902  2 N 2.35-2.63
Ag1 0.1250 0.2500 0.3750  8 La 3.26-3.36
Ag2 0.1250 0.3750 0.7500  8 La 3.26-3.36
Ag3 0.2500 0.3750 0.1250  8 La 3.26-3.36
Ag4 0.2500 0.8750 0.6250  8 La 3.26-3.36
Ag5 0.3750 0.1250 0.2500  8 La 3.26-3.36
Ag6 0.3750 0.7500 0.1250  8 La 3.26-3.36
Ag7 0.6250 0.2500 0.8750  8 La 3.26-3.36
Ag8 0.6250 0.8750 0.7500  8 La 3.26-3.36
Ag9 0.7500 0.1250 0.3750  8 La 3.26-3.36
Ag10 0.7500 0.6250 0.8750  8 La 3.26-3.36
Ag11 0.8750 0.6250 0.2500  8 La 3.26-3.36
Ag12 0.8750 0.7500 0.6250  8 La 3.26-3.36
N1 0.0000 0.0000 0.0000  6 La 2.63
N2 0.0000 0.0000 0.5000  6 La 2.63
N3 0.0000 0.5000 0.0000  6 La 2.63
N4 0.0000 0.5000 0.5000  6 La 2.63
N5 0.1250 0.7500 0.8750  4 La 2.35
N6 0.1250 0.8750 0.2500  4 La 2.35
N7 0.2500 0.1250 0.8750  4 La 2.35
N8 0.2500 0.6250 0.3750  4 La 2.35
N9 0.3750 0.2500 0.6250  4 La 2.35
N10 0.3750 0.6250 0.7500  4 La 2.35
N11 0.5000 0.0000 0.0000  6 La 2.63
N12 0.5000 0.0000 0.5000  6 La 2.63
N13 0.5000 0.5000 0.0000  6 La 2.63
N14 0.5000 0.5000 0.5000  6 La 2.63
N15 0.6250 0.3750 0.2500  4 La 2.35
N16 0.6250 0.7500 0.3750  4 La 2.35
N17 0.7500 0.3750 0.6250  4 La 2.35
N18 0.7500 0.8750 0.1250  4 La 2.35
N19 0.8750 0.1250 0.7500  4 La 2.35
N20 0.8750 0.2500 0.1250  4 La 2.35

space group = Ia-3d
calculated volume = 2210 Å³/cell
ΔE_f (raw) = -0.679 eV per atom


(2)
## La6AgN (GGA-PBE)

Data for a relaxed structure of La6AgN.

Cell lengths 6.7390, 6.7417, 7.6620 Å; angles 89.94, 63.93, 60.09 degrees
Closest atoms and distances in Å follow each position.
Fractional positions:
La1 0.0588 0.3922 0.2192  1 N 2.54
La2 0.3271 0.9515 0.7801  1 N 2.53
La3 0.3282 0.7785 0.2196  1 N 2.53
La4 0.6718 0.2215 0.7804  1 N 2.53
La5 0.6729 0.0485 0.2199  1 N 2.53
La6 0.9412 0.6078 0.7808  1 N 2.54
Ag1 0.5000 0.5000 0.5000  6 La 3.08
N1 0.5000 0.0000 0.0000  6 La 2.53-2.54

space group = P-1
calculated volume = 260 Å³/cell
ΔE_f (raw) = -0.324 eV per atom


(3)
## La5Ag2N2 (GGA-PBE)

Data for a relaxed structure of La5Ag2N2.

Cell lengths 10.7197, 10.7197, 10.7197 Å; angles 57.44, 139.83, 140.72 degrees
Closest atoms and distances in Å follow each position.
Fractional positions:
La1 0.0362 0.1384 0.3978  2 N 2.42-2.43
La2 0.2150 0.4192 0.0767  1 N 2.33
La3 0.2150 0.6383 0.2958  1 N 2.33
La4 0.2425 0.0149 0.2575  2 N 2.57-2.61
La5 0.2425 0.4851 0.7276  2 N 2.57-2.61
La6 0.3425 0.1383 0.9233  1 N 2.33
La7 0.3425 0.9192 0.7042  1 N 2.33
La8 0.7406 0.6384 0.6022  2 N 2.42-2.43
La9 0.7575 0.5149 0.2724  2 N 2.57-2.61
La10 0.7575 0.9851 0.7425  2 N 2.57-2.61
Ag1 0.7239 0.1318 0.3771  7 La 3.13-3.41
Ag2 0.7239 0.8468 0.0922  7 La 3.13-3.41
Ag3 0.7547 0.3468 0.6229  7 La 3.13-3.41
Ag4 0.7547 0.6318 0.9078  7 La 3.13-3.41
N1 0.1445 0.9645 0.6800  4 La 2.33-2.43
N2 0.2542 0.2542 0.0000  6 La 2.57-2.69
N3 0.2542 0.7542 0.5000  6 La 2.57-2.69
N4 0.2845 0.4645 0.3200  4 La 2.33-2.43

space group = Ima2
calculated volume = 499 Å³/cell
ΔE_f (raw) = -0.683 eV per atom


(4)
## La6AgN3 (GGA-PBE)

Data for a relaxed structure of La6AgN3.

Cell lengths 11.8184, 3.7125, 12.6026 Å; angles 90.00, 110.99, 90.00 degrees
Closest atoms and distances in Å follow each position.
Fractional positions:
La1 0.0470 0.2500 0.2868  3 N 2.56-2.62
La2 0.1360 0.2500 0.5795  3 N 2.46-2.62
La3 0.1619 0.7500 0.1177  2 N 2.64
La4 0.3118 0.7500 0.4213  3 N 2.55-2.69
La5 0.3667 0.7500 0.9190  3 N 2.36-2.56
La6 0.4466 0.2500 0.2286  3 N 2.49-2.59
La7 0.5534 0.7500 0.7714  3 N 2.49-2.59
La8 0.6333 0.2500 0.0810  3 N 2.36-2.56
La9 0.6882 0.2500 0.5787  3 N 2.55-2.69
La10 0.8381 0.2500 0.8823  2 N 2.64
La11 0.8640 0.7500 0.4205  3 N 2.46-2.62
La12 0.9530 0.7500 0.7132  3 N 2.56-2.62
Ag1 0.1391 0.2500 0.9073  7 La 3.17-3.46
Ag2 0.8609 0.7500 0.0927  7 La 3.17-3.46
N1 0.0933 0.7500 0.4429  6 La 2.46-2.69
N2 0.2578 0.2500 0.2733  6 La 2.49-2.64
N3 0.4990 0.7500 0.1106  5 La 2.36-2.59
N4 0.5010 0.2500 0.8894  5 La 2.36-2.59
N5 0.7422 0.7500 0.7267  6 La 2.49-2.64
N6 0.9067 0.2500 0.5571  6 La 2.46-2.69

space group = P2_1/m
calculated volume = 516 Å³/cell
ΔE_f (raw) = -0.792 eV per atom